[1]
This record from Alexandria via LeMat-Bulk describes a relaxed La2YTa crystal. The functional is PBE. Values from VASP.

Structure (Quantum ESPRESSO input):
```
&SYSTEM
  ibrav = 0, nat = 16, ntyp = 3
/
ATOMIC_SPECIES
La 138.91 La.upf
Y 88.91 Y.upf
Ta 180.95 Ta.upf
ATOMIC_POSITIONS angstrom
La 0.000 0.000 0.000
La 0.000 3.847 3.847
La 1.924 1.924 1.924
La 1.924 5.771 5.771
La 3.847 0.000 3.847
La 3.847 3.847 0.000
La 5.771 1.924 5.771
La 5.771 5.771 1.924
Y 0.000 0.000 3.847
Y 0.000 3.847 0.000
Y 3.847 0.000 0.000
Y 3.847 3.847 3.847
Ta 1.924 1.924 5.771
Ta 1.924 5.771 1.924
Ta 5.771 1.924 1.924
Ta 5.771 5.771 5.771
CELL_PARAMETERS angstrom
7.695 0.000 0.000
0.000 7.695 0.000
0.000 0.000 7.695
```

SG: F-43m, No. 216
V, Å³/cell: 455.56
Total magnetization, μB per atom: 0.1430
Energy relative to the elements, eV/atom: 0.507
Uncorrected energy, eV per atom: -6.54

[2]
This record from Alexandria via LeMat-Bulk describes a relaxed LaY2Ta crystal. The functional is PBE. Values from VASP.

Structure (Quantum ESPRESSO input):
```
&SYSTEM
  ibrav = 0, nat = 4, ntyp = 3
/
ATOMIC_SPECIES
La 138.91 La.upf
Y 88.91 Y.upf
Ta 180.95 Ta.upf
ATOMIC_POSITIONS angstrom
La 0.000 0.000 0.000
Y 0.000 0.000 3.796
Y 1.664 2.446 1.949
Ta 1.664 2.446 5.285
CELL_PARAMETERS angstrom
3.327 0.000 0.000
0.000 4.892 0.000
0.000 0.000 6.892
```

SG: Pmm2, No. 25
V, Å³/cell: 112.17
Total magnetization, μB per atom: 0.0000
Energy relative to the elements, eV/atom: 0.381
Uncorrected energy, eV per atom: -7.05

[3]
This record from Alexandria via LeMat-Bulk describes a relaxed La2YTa crystal. The functional is PBE. Values from VASP.

Structure (Quantum ESPRESSO input):
```
&SYSTEM
  ibrav = 0, nat = 4, ntyp = 3
/
ATOMIC_SPECIES
La 138.91 La.upf
Y 88.91 Y.upf
Ta 180.95 Ta.upf
ATOMIC_POSITIONS angstrom
La 0.000 0.000 0.000
La 1.668 2.472 1.910
Y 3.333 0.000 3.853
Ta 1.663 2.472 5.276
CELL_PARAMETERS angstrom
3.341 0.000 0.000
0.000 4.944 0.000
-0.007 0.000 6.941
```

SG: Pm, No. 6
V, Å³/cell: 114.64
Total magnetization, μB per atom: 0.0000
Energy relative to the elements, eV/atom: 0.390
Uncorrected energy, eV per atom: -6.65

[4]
This record from Alexandria via LeMat-Bulk describes a relaxed LaYTa2 crystal. The functional is PBE. Values from VASP.

Structure (Quantum ESPRESSO input):
```
&SYSTEM
  ibrav = 0, nat = 8, ntyp = 3
/
ATOMIC_SPECIES
La 138.91 La.upf
Y 88.91 Y.upf
Ta 180.95 Ta.upf
ATOMIC_POSITIONS angstrom
La 0.000 0.000 0.000
La 5.350 1.546 0.000
Y -0.161 1.546 3.105
Y 5.189 0.000 3.105
Ta 2.355 0.000 4.280
Ta 2.673 1.546 1.930
Ta 7.705 1.546 4.280
Ta 8.023 0.000 1.930
CELL_PARAMETERS angstrom
10.699 0.000 0.000
0.000 3.093 0.000
-0.321 0.000 6.210
```

SG: C2/m, No. 12
V, Å³/cell: 205.50
Total magnetization, μB per atom: 0.0000
Energy relative to the elements, eV/atom: 0.587
Uncorrected energy, eV per atom: -8.19

[5]
This record from Alexandria via LeMat-Bulk describes a relaxed LaY2Ta crystal. The functional is PBE. Values from VASP.

Structure (Quantum ESPRESSO input):
```
&SYSTEM
  ibrav = 0, nat = 16, ntyp = 3
/
ATOMIC_SPECIES
La 138.91 La.upf
Y 88.91 Y.upf
Ta 180.95 Ta.upf
ATOMIC_POSITIONS angstrom
La 0.000 0.000 0.000
La 0.000 3.824 3.824
La 3.824 0.000 3.824
La 3.824 3.824 0.000
Y 0.000 0.000 3.824
Y 0.000 3.824 0.000
Y 1.912 1.912 5.736
Y 1.912 5.736 1.912
Y 3.824 0.000 0.000
Y 3.824 3.824 3.824
Y 5.736 1.912 1.912
Y 5.736 5.736 5.736
Ta 1.912 1.912 1.912
Ta 1.912 5.736 5.736
Ta 5.736 1.912 5.736
Ta 5.736 5.736 1.912
CELL_PARAMETERS angstrom
7.648 0.000 0.000
0.000 7.648 0.000
0.000 0.000 7.648
```

SG: F-43m, No. 216
V, Å³/cell: 447.38
Total magnetization, μB per atom: 0.3238
Energy relative to the elements, eV/atom: 0.456
Uncorrected energy, eV per atom: -6.97

[6]
This record from Alexandria via LeMat-Bulk describes a relaxed LaYTa4 crystal. The functional is PBE. Values from VASP.

Structure (Quantum ESPRESSO input):
```
&SYSTEM
  ibrav = 0, nat = 6, ntyp = 3
/
ATOMIC_SPECIES
La 138.91 La.upf
Y 88.91 Y.upf
Ta 180.95 Ta.upf
ATOMIC_POSITIONS angstrom
La 0.000 0.000 0.000
Y 2.039 2.039 2.039
Ta 5.094 3.063 3.063
Ta 3.063 5.094 3.063
Ta 3.063 3.063 5.094
Ta 5.094 5.094 5.094
CELL_PARAMETERS angstrom
0.000 4.079 4.079
4.079 0.000 4.079
4.079 4.079 0.000
```

SG: F-43m, No. 216
V, Å³/cell: 135.73
Total magnetization, μB per atom: 0.0000
Energy relative to the elements, eV/atom: 0.301
Uncorrected energy, eV per atom: -9.50

[7]
This record from Alexandria via LeMat-Bulk describes a relaxed La2YTa crystal. The functional is PBE. Values from VASP.

Structure (Quantum ESPRESSO input):
```
&SYSTEM
  ibrav = 0, nat = 4, ntyp = 3
/
ATOMIC_SPECIES
La 138.91 La.upf
Y 88.91 Y.upf
Ta 180.95 Ta.upf
ATOMIC_POSITIONS angstrom
La 0.000 0.000 0.000
La 1.974 1.974 2.451
Y 1.974 1.974 5.618
Ta 0.000 0.000 4.259
CELL_PARAMETERS angstrom
3.948 0.000 0.000
0.000 3.948 0.000
0.000 0.000 7.684
```

SG: P4mm, No. 99
V, Å³/cell: 119.75
Total magnetization, μB per atom: 0.0000
Energy relative to the elements, eV/atom: 0.386
Uncorrected energy, eV per atom: -6.66

[8]
This record from Alexandria via LeMat-Bulk describes a relaxed La2YTa crystal. The functional is PBE. Values from VASP.

Structure (Quantum ESPRESSO input):
```
&SYSTEM
  ibrav = 0, nat = 8, ntyp = 3
/
ATOMIC_SPECIES
La 138.91 La.upf
Y 88.91 Y.upf
Ta 180.95 Ta.upf
ATOMIC_POSITIONS angstrom
La 1.685 2.864 0.000
La 1.685 8.591 0.000
La 5.054 2.864 0.000
La 5.054 8.591 0.000
Y -0.764 0.000 1.454
Y 2.606 5.727 1.454
Ta -0.764 5.727 1.454
Ta 2.606 0.000 1.454
CELL_PARAMETERS angstrom
6.739 0.000 0.000
0.000 11.455 0.000
-1.528 0.000 2.908
```

SG: C2/m, No. 12
V, Å³/cell: 224.51
Total magnetization, μB per atom: 0.0001
Energy relative to the elements, eV/atom: 0.503
Uncorrected energy, eV per atom: -6.54

[9]
This record from Alexandria via LeMat-Bulk describes a relaxed LaY2Ta crystal. The functional is PBE. Values from VASP.

Structure (Quantum ESPRESSO input):
```
&SYSTEM
  ibrav = 0, nat = 8, ntyp = 3
/
ATOMIC_SPECIES
La 138.91 La.upf
Y 88.91 Y.upf
Ta 180.95 Ta.upf
ATOMIC_POSITIONS angstrom
La 0.000 0.000 0.000
La 3.364 4.845 0.000
Y 1.682 2.423 1.698
Y 1.682 7.268 1.698
Y 5.047 2.423 1.698
Y 5.047 7.268 1.698
Ta 0.000 4.845 0.000
Ta 3.364 0.000 0.000
CELL_PARAMETERS angstrom
6.729 0.000 0.000
0.000 9.690 0.000
0.000 0.000 3.396
```

SG: Cmmm, No. 65
V, Å³/cell: 221.45
Total magnetization, μB per atom: 0.0006
Energy relative to the elements, eV/atom: 0.412
Uncorrected energy, eV per atom: -7.02

[10]
This record from Alexandria via LeMat-Bulk describes a relaxed La2YTa crystal. The functional is PBE. Values from VASP.

Structure (Quantum ESPRESSO input):
```
&SYSTEM
  ibrav = 0, nat = 4, ntyp = 3
/
ATOMIC_SPECIES
La 138.91 La.upf
Y 88.91 Y.upf
Ta 180.95 Ta.upf
ATOMIC_POSITIONS angstrom
La 0.000 0.000 2.270
La 0.000 0.000 8.124
Y 1.685 1.685 5.197
Ta 1.685 1.685 0.000
CELL_PARAMETERS angstrom
3.369 0.000 0.000
0.000 3.369 0.000
0.000 0.000 10.394
```

SG: P4/mmm, No. 123
V, Å³/cell: 118.00
Total magnetization, μB per atom: 0.0000
Energy relative to the elements, eV/atom: 0.381
Uncorrected energy, eV per atom: -6.66

[11]
This record from Alexandria via LeMat-Bulk describes a relaxed LaYTa2 crystal. The functional is PBE. Values from VASP.

Structure (Quantum ESPRESSO input):
```
&SYSTEM
  ibrav = 0, nat = 12, ntyp = 3
/
ATOMIC_SPECIES
La 138.91 La.upf
Y 88.91 Y.upf
Ta 180.95 Ta.upf
ATOMIC_POSITIONS angstrom
La 0.000 0.000 0.000
La 0.000 1.838 21.781
La 1.592 0.919 10.890
Y 0.000 0.000 16.335
Y 0.000 1.838 5.445
Y 1.592 0.919 27.226
Ta 0.000 0.000 8.083
Ta 0.000 0.000 24.588
Ta 0.000 1.838 13.698
Ta 0.000 1.838 29.863
Ta 1.592 0.919 2.808
Ta 1.592 0.919 18.973
CELL_PARAMETERS angstrom
3.183 0.000 0.000
-1.592 2.757 0.000
0.000 0.000 32.671
```

SG: R-3m, No. 166
V, Å³/cell: 286.74
Total magnetization, μB per atom: 0.0010
Energy relative to the elements, eV/atom: 0.635
Uncorrected energy, eV per atom: -8.14

[12]
This record from Alexandria via LeMat-Bulk describes a relaxed La2YTa crystal. The functional is PBE. Values from VASP.

Structure (Quantum ESPRESSO input):
```
&SYSTEM
  ibrav = 0, nat = 8, ntyp = 3
/
ATOMIC_SPECIES
La 138.91 La.upf
Y 88.91 Y.upf
Ta 180.95 Ta.upf
ATOMIC_POSITIONS angstrom
La 0.000 0.000 2.565
La 0.000 0.000 9.394
La 1.707 2.890 3.414
La 1.707 2.890 8.544
Y 0.000 2.890 0.000
Y 1.707 0.000 5.979
Ta 0.000 2.890 5.979
Ta 1.707 0.000 0.000
CELL_PARAMETERS angstrom
3.414 0.000 0.000
0.000 5.781 0.000
0.000 0.000 11.958
```

SG: Immm, No. 71
V, Å³/cell: 235.97
Total magnetization, μB per atom: 0.0000
Energy relative to the elements, eV/atom: 0.400
Uncorrected energy, eV per atom: -6.64